# 1
Material: VRe4Se8
Method: DFT, PBE
State: relaxed

```
VRe4Se8
1.0
3.564 2.058 6.358
-3.564 2.058 6.358
0.000 -4.115 6.358
V Re Se
1 4 8
direct
0.000 0.000 0.000
0.000 0.000 0.500
0.000 0.500 0.000
0.500 0.000 0.000
0.500 0.500 0.500
0.244 0.747 0.747
0.246 0.246 0.246
0.253 0.253 0.756
0.253 0.756 0.253
0.747 0.244 0.747
0.747 0.747 0.244
0.754 0.754 0.754
0.756 0.253 0.253
```

Computed properties:
uncorrected formation energy	0.12	eV per atom
theoretical density	8.47	g/cm³

# 2
Material: LaInRh
Method: DFT, PBE
State: relaxed

```
LaInRh
1.0
5.403 0.000 0.000
0.000 5.071 0.000
-1.071 0.000 5.418
La In Rh
2 2 2
direct
0.207 0.250 0.389
0.793 0.750 0.611
0.344 0.750 0.015
0.656 0.250 0.985
0.122 0.250 0.840
0.878 0.750 0.160
```

Computed properties:
theoretical density	7.98	g/cm³
ΔH_f (0 K)	-0.650	eV/atom

# 3
Material: TlSb2TeI
Method: DFT, PBE
State: relaxed

```
TlSb2TeI
1.0
5.814 0.000 0.000
0.000 5.814 0.000
0.000 0.000 6.307
Tl Sb Te I
1 2 1 1
direct
0.000 0.000 0.000
0.000 0.500 0.500
0.500 0.000 0.500
0.500 0.500 0.500
0.500 0.500 0.000
```

Computed properties:
uncorrected formation energy	0.44	eV per atom
theoretical density	5.47	g/cm³

# 4
Material: KMgZr3
Method: DFT, PBE
State: relaxed

```
KMgZr3
1.0
5.335 0.000 0.000
0.000 5.335 0.000
0.000 0.000 5.335
K Mg Zr
1 1 3
direct
0.000 0.000 0.000
0.500 0.500 0.500
0.000 0.500 0.500
0.500 0.000 0.500
0.500 0.500 0.000
```

Computed properties:
theoretical density	3.69	g/cm³
ΔH_f (0 K)	1.301	eV/atom

# 5
Material: Hf2ZrFe
Method: DFT, PBE
State: relaxed

```
Hf2ZrFe
1.0
-3.767 3.767 2.857
3.767 -3.767 2.857
3.767 3.767 -2.857
Hf Zr Fe
4 2 2
direct
0.062 0.625 0.937
0.375 0.312 0.437
0.688 0.125 0.063
0.875 0.938 0.563
0.250 0.750 0.500
0.500 0.500 0.000
0.000 0.000 0.000
0.750 0.250 0.500
```

Computed properties:
theoretical density	10.32	g/cm³
ΔH_f (0 K)	0.208	eV/atom

# 6
Material: CaIn2Sb
Method: DFT, PBE
State: relaxed

```
CaIn2Sb
1.0
-2.234 2.234 5.574
2.234 -2.234 5.574
2.234 2.234 -5.574
Ca In Sb
1 2 1
direct
0.000 0.000 0.000
0.250 0.750 0.500
0.750 0.250 0.500
0.500 0.500 0.000
```

Computed properties:
uncorrected formation energy	-0.36	eV per atom
theoretical density	5.84	g/cm³

# 7
Material: Ta4Nb2Tc
Method: DFT, PBE
State: relaxed

```
Ta4Nb2Tc
1.0
4.742 0.000 0.000
0.000 2.689 0.000
-2.347 0.000 9.876
Ta Nb Tc
4 2 1
direct
0.071 0.000 0.139
0.210 0.500 0.419
0.790 0.500 0.581
0.929 0.000 0.861
0.355 0.000 0.711
0.645 0.000 0.289
0.500 0.500 0.000
```

Computed properties:
theoretical density	13.29	g/cm³
ΔH_f (0 K)	0.239	eV/atom

# 8
Material: TiZnO2
Method: DFT, PBE
State: relaxed

```
TiZnO2
1.0
7.608 -1.442 0.000
7.608 1.442 0.000
-6.621 0.000 8.356
Ti Zn O
4 4 8
direct
0.064 0.064 0.426
0.345 0.345 0.250
0.655 0.655 0.750
0.936 0.936 0.574
0.160 0.160 0.247
0.445 0.445 0.059
0.555 0.555 0.941
0.840 0.840 0.753
0.090 0.090 0.803
0.282 0.282 0.851
0.333 0.333 0.422
0.410 0.410 0.702
0.590 0.590 0.298
0.667 0.667 0.578
0.718 0.718 0.149
0.910 0.910 0.197
```

Computed properties:
uncorrected formation energy	-1.86	eV per atom
theoretical density	5.26	g/cm³

# 9
Material: Cd2AgPb
Method: DFT, PBE
State: relaxed

```
Cd2AgPb
1.0
3.414 0.000 0.000
0.000 3.414 0.000
0.000 0.000 8.128
Cd Ag Pb
2 1 1
direct
0.000 0.000 0.000
0.500 0.500 0.239
0.500 0.500 0.792
0.000 0.000 0.536
```

Computed properties:
theoretical density	9.46	g/cm³
ΔH_f (0 K)	0.042	eV/atom

# 10
Material: CaBPd3
Method: DFT, PBE
State: relaxed

```
CaBPd3
1.0
-2.697 3.618 4.302
2.697 -3.618 4.302
2.697 3.618 -4.302
Ca B Pd
2 2 6
direct
0.000 0.000 0.000
0.500 0.000 0.500
0.295 0.545 0.750
0.705 0.455 0.250
0.085 0.649 0.436
0.287 0.351 0.936
0.500 0.000 0.000
0.500 0.500 0.500
0.713 0.649 0.064
0.915 0.351 0.564
```

Computed properties:
theoretical density	7.32	g/cm³
ΔH_f (0 K)	-0.404	eV/atom

# 11
Material: Mg2SiPd
Method: DFT, PBE
State: relaxed

```
Mg2SiPd
1.0
2.157 1.245 4.444
-2.157 1.245 4.444
0.000 -2.490 4.444
Mg Si Pd
2 1 1
direct
0.000 0.000 0.000
0.214 0.214 0.214
0.433 0.433 0.433
0.788 0.788 0.788
```

Computed properties:
uncorrected formation energy	-0.43	eV per atom
theoretical density	4.25	g/cm³

# 12
Material: CaDy12Tm6
Method: DFT, PBE
State: relaxed

```
CaDy12Tm6
1.0
7.489 4.324 3.364
-7.489 4.324 3.364
0.000 -8.647 3.364
Ca Dy Tm
1 12 6
direct
0.000 0.000 0.000
0.112 0.500 0.888
0.112 0.888 0.500
0.139 0.361 0.361
0.361 0.139 0.361
0.361 0.361 0.139
0.500 0.112 0.888
0.500 0.888 0.112
0.639 0.639 0.861
0.639 0.861 0.639
0.861 0.639 0.639
0.888 0.112 0.500
0.888 0.500 0.112
0.275 0.688 0.688
0.312 0.312 0.725
0.312 0.725 0.312
0.688 0.275 0.688
0.688 0.688 0.275
0.725 0.312 0.312
```

Computed properties:
theoretical density	7.63	g/cm³
ΔH_f (0 K)	0.428	eV/atom

# 13
Material: CaPdBr
Method: DFT, PBE
State: relaxed

```
CaPdBr
1.0
10.870 0.000 0.000
0.000 2.002 3.524
0.000 -2.002 3.524
Ca Pd Br
2 2 2
direct
0.172 0.000 0.000
0.828 0.000 0.000
0.000 0.668 0.668
0.500 0.960 0.960
0.335 0.671 0.671
0.665 0.671 0.671
```

Computed properties:
uncorrected formation energy	-0.71	eV per atom
theoretical density	4.90	g/cm³

# 14
Material: TeMo2Os2
Method: DFT, PBE
State: relaxed

```
TeMo2Os2
1.0
-2.102 2.102 5.446
2.102 -2.102 5.446
2.102 2.102 -5.446
Te Mo Os
1 2 2
direct
0.000 0.000 0.000
0.250 0.750 0.500
0.750 0.250 0.500
0.380 0.380 0.000
0.620 0.620 0.000
```

Computed properties:
uncorrected formation energy	0.52	eV per atom
theoretical density	12.07	g/cm³

# 15
Material: LaInBPd2
Method: DFT, PBE
State: relaxed

```
LaInBPd2
1.0
4.884 0.000 0.000
0.000 4.884 0.000
0.000 0.000 6.155
La In B Pd
1 1 1 2
direct
0.000 0.000 0.000
0.000 0.000 0.500
0.500 0.500 0.000
0.000 0.500 0.500
0.500 0.000 0.500
```

Computed properties:
theoretical density	5.40	g/cm³
ΔH_f (0 K)	1.182	eV/atom

# 16
Material: NpAuS
Method: DFT, PBE
State: relaxed

```
NpAuS
1.0
-1.764 1.764 10.914
1.764 -1.764 10.914
1.764 1.764 -10.914
Np Au S
2 2 2
direct
0.153 0.153 0.000
0.847 0.847 0.000
0.437 0.437 0.000
0.563 0.563 0.000
0.293 0.293 0.000
0.707 0.707 0.000
```

Computed properties:
uncorrected formation energy	-0.63	eV per atom
theoretical density	11.40	g/cm³

# 17
Material: Cs2MnZnI6
Method: DFT, PBE
State: relaxed

```
Cs2MnZnI6
1.0
-4.235 4.235 5.830
4.235 -4.235 5.830
4.235 4.235 -5.830
Cs Mn Zn I
2 1 1 6
direct
0.250 0.750 0.500
0.750 0.250 0.500
0.000 0.000 0.000
0.500 0.500 0.000
0.235 0.235 0.469
0.235 0.765 0.000
0.278 0.278 0.000
0.722 0.722 0.000
0.765 0.235 0.000
0.765 0.765 0.531
```

Computed properties:
uncorrected formation energy	-0.85	eV per atom
theoretical density	4.56	g/cm³

# 18
Material: Ba7H12S
Method: DFT, PBE
State: relaxed

```
Ba7H12S
1.0
8.429 4.866 2.046
-8.429 4.866 2.046
0.000 -9.733 2.046
Ba H S
7 12 1
direct
0.000 0.000 0.000
0.078 0.448 0.328
0.328 0.078 0.448
0.448 0.328 0.078
0.552 0.672 0.922
0.672 0.922 0.552
0.922 0.552 0.672
0.002 0.889 0.706
0.111 0.294 0.998
0.207 0.587 0.694
0.294 0.998 0.111
0.306 0.793 0.413
0.413 0.306 0.793
0.587 0.694 0.207
0.694 0.207 0.587
0.706 0.002 0.889
0.793 0.413 0.306
0.889 0.706 0.002
0.998 0.111 0.294
0.500 0.500 0.500
```

Computed properties:
DFT total energy	-3.373	eV per atom
theoretical density	3.32	g/cm³

# 19
Material: Dy3Cd3Pd2
Method: DFT, PBE
State: relaxed

```
Dy3Cd3Pd2
1.0
7.598 0.000 0.000
-3.799 6.580 0.000
0.000 0.000 3.730
Dy Cd Pd
3 3 2
direct
0.000 0.583 0.000
0.417 0.417 0.000
0.583 0.000 0.000
0.000 0.229 0.500
0.229 0.000 0.500
0.771 0.771 0.500
0.333 0.667 0.500
0.667 0.333 0.500
```

Computed properties:
theoretical density	9.24	g/cm³
ΔH_f (0 K)	-0.632	eV/atom

# 20
Material: ScNb2InPb
Method: DFT, PBE
State: relaxed

```
ScNb2InPb
1.0
5.714 0.000 0.000
0.000 5.714 0.000
0.000 0.000 5.653
Sc Nb In Pb
1 2 1 1
direct
0.000 0.000 0.000
0.000 0.500 0.500
0.500 0.000 0.500
0.500 0.500 0.000
0.500 0.500 0.500
```

Computed properties:
theoretical density	4.97	g/cm³
ΔH_f (0 K)	1.728	eV/atom